1:
TaReF3 (meta-GGA SCAN, single point on PBEsol structure); DOS at the Fermi energy = 0.53 states/eV per atom; ρ = 9.38 Mg/m³
1.0
4.2193 0.0000 0.0000
0.0000 4.2193 0.0000
0.0000 0.0000 4.2193
Ta Re F
1 1 3
direct
0.0000 0.0000 0.0000
0.5000 0.5000 0.5000
0.0000 0.0000 0.5000
0.0000 0.5000 0.0000
0.5000 0.0000 0.0000


2:
TaReF3 (meta-GGA SCAN, single point on PBEsol structure); DOS at the Fermi energy = 0.63 states/eV per atom; ρ = 9.70 Mg/m³
1.0
4.1712 0.0000 0.0000
0.0000 4.1712 0.0000
0.0000 0.0000 4.1712
Ta Re F
1 1 3
direct
0.0000 0.0000 0.0000
0.5000 0.5000 0.5000
0.0000 0.5000 0.5000
0.5000 0.0000 0.5000
0.5000 0.5000 0.0000


On energetic grounds, 1 is preferred over the next structure by 662 meV per atom.